(1)
The following is a PBE-GGA calculation of TbDyTm4S8 after structural relaxation, from the Alexandria database.

ΔE_f (raw): -1.922 eV/atom

Lattice parameters (Å, degrees): 7.9664 7.9664 19.5773 90.00 90.00 120.00
Space group R3m (No. 160, hexagonal axes)
Inequivalent atoms, fractional coordinates:
Tb (0.0000, 0.0000, 0.0000)
Dy (0.0000, 0.0000, 0.6254)
Tm (0.0000, 0.0000, 0.2509)
Tm (0.0009, 0.5004, 0.1257)
S (0.0000, 0.0000, 0.3833)
S (0.0000, 0.0000, 0.8657)
S (0.0218, 0.5109, 0.3800)
S (0.1750, 0.3501, 0.2052)

=====

(2)
The following is a PBE-GGA calculation of SmNpIrPd after structural relaxation, from the Alexandria database.

Energy of formation: -0.41 eV/atom

Lattice parameters (Å, degrees): 6.994 6.994 6.994 90.00 90.00 90.00
Space group F-43m (No. 216)
Inequivalent atoms, fractional coordinates:
Sm (0.000, 0.000, 0.000)
Np (0.000, 0.000, 0.500)
Ir (0.250, 0.250, 0.250)
Pd (0.250, 0.250, 0.750)

=====

(3)
The following is a PBE-GGA calculation of ZrNiTe3 after structural relaxation, from the Alexandria database.

ΔE to the lowest computed polymorph: 0 kJ/mol of formula units
ΔE_f (raw): -0.515 eV/atom

Lattice parameters (Å, degrees): 3.840 24.161 6.519 90.00 90.00 90.00
Space group Ama2 (No. 40)
Inequivalent atoms, fractional coordinates:
Zr (0.250, 0.166, 0.000)
Ni (0.250, 0.372, 0.827)
Te (0.250, 0.066, 0.232)
Te (0.250, 0.270, 0.736)
Te (0.250, 0.375, 0.210)

=====

(4)
The following is a PBE-GGA calculation of Be2Te after structural relaxation, from the Alexandria database.

ΔE to the lowest computed polymorph: 51 kJ/mol of formula units
ΔE_f (raw): 0.197 eV/atom

Lattice parameters (Å, degrees): 10.883 3.777 5.443 90.00 114.85 90.00
Space group C2/m (No. 12)
Inequivalent atoms, fractional coordinates:
Be (0.025, 0.000, 0.202)
Be (0.092, 0.500, 0.982)
Te (0.169, 0.000, 0.687)

=====

(5)
The following is a PBE-GGA calculation of Pr3Tm12In after structural relaxation, from the Alexandria database.

Energy of formation: -0.03 eV/atom

Lattice parameters (Å, degrees): 4.945 4.945 19.971 90.00 90.00 90.00
Space group P4/mmm (No. 123)
Inequivalent atoms, fractional coordinates:
Pr (0.000, 0.000, 0.000)
Pr (0.000, 0.000, 0.252)
Tm (0.000, 0.500, 0.127)
Tm (0.000, 0.500, 0.381)
Tm (0.500, 0.500, 0.000)
Tm (0.500, 0.500, 0.258)
Tm (0.500, 0.500, 0.500)
In (0.000, 0.000, 0.500)

=====

(6)
The following is a PBE-GGA calculation of Tb3GaSi2Ni9 after structural relaxation, from the Alexandria database.

ΔE_f (raw): -0.308 eV/atom

Lattice parameters (Å, degrees): 5.8329 5.8329 8.4869 90.00 90.00 120.00
Space group P-3m1 (No. 164)
Inequivalent atoms, fractional coordinates:
Tb (0.0000, 0.0000, 0.0000)
Tb (0.3333, 0.6667, 0.6803)
Ga (0.0000, 0.0000, 0.5000)
Si (0.3333, 0.6667, 0.1769)
Ni (0.0000, 0.5000, 0.0000)
Ni (0.1391, 0.2781, 0.2786)

=====

(7)
The following is a PBE-GGA calculation of RbLiAuSe2 after structural relaxation, from the Alexandria database.

ΔE_f (raw): -0.717 eV/atom

Lattice parameters (Å, degrees): 5.704 15.153 6.164 90.00 90.00 90.00
Space group Cmme (No. 67)
Inequivalent atoms, fractional coordinates:
Rb (0.000, 0.250, 0.226)
Li (0.250, 0.000, 0.500)
Au (0.000, 0.000, 0.000)
Se (0.000, 0.113, 0.712)

=====

(8)
The following is a PBE-GGA calculation of Ac5Dy3H12 after structural relaxation, from the Alexandria database.

Electronic total energy: -651.92 eV for the cell shown

Lattice parameters (Å, degrees): 14.055 14.055 14.055 90.00 90.00 90.00
Space group Ia-3d (No. 230)
Inequivalent atoms, fractional coordinates:
Ac (0.000, 0.000, 0.000)
Ac (0.000, 0.250, 0.375)
Dy (0.000, 0.250, 0.125)
H (0.009, 0.071, 0.161)

=====

(9)
The following is a PBE-GGA calculation of PuZn6Ge2 after structural relaxation, from the Alexandria database.

Energy of formation: -0.12 eV/atom

Lattice parameters (Å, degrees): 4.029 4.029 9.503 90.00 90.00 90.00
Space group P4/mmm (No. 123)
Inequivalent atoms, fractional coordinates:
Pu (0.000, 0.000, 0.000)
Zn (0.000, 0.000, 0.500)
Zn (0.000, 0.500, 0.306)
Zn (0.500, 0.500, 0.500)
Ge (0.500, 0.500, 0.133)

=====

(10)
The following is a PBE-GGA calculation of Y4Ag2Pd after structural relaxation, from the Alexandria database.

Energy of formation: -0.33 eV/atom

Lattice parameters (Å, degrees): 5.0563 5.0563 24.7691 90.00 90.00 120.00
Space group R-3m (No. 166, hexagonal axes)
Inequivalent atoms, fractional coordinates:
Y (0.0000, 0.0000, 0.1241)
Y (0.0000, 0.0000, 0.3741)
Ag (0.0000, 0.0000, 0.2480)
Pd (0.0000, 0.0000, 0.0000)

=====

(11)
The following is a PBE-GGA calculation of DyY6Ho3 after structural relaxation, from the Alexandria database.

Energy of formation: 0.12 eV/atom
ΔE to the lowest computed polymorph: 0 kJ/mol of formula units

Lattice parameters (Å, degrees): 9.634 20.937 6.381 90.00 90.00 90.00
Space group Cmc2_1 (No. 36)
Inequivalent atoms, fractional coordinates:
Dy (0.000, 0.161, 0.000)
Y (0.000, 0.015, 0.198)
Y (0.000, 0.301, 0.229)
Y (0.177, 0.281, 0.689)
Y (0.181, 0.440, 0.446)
Ho (0.000, 0.419, 0.922)
Ho (0.168, 0.127, 0.528)

=====

(12)
The following is a PBE-GGA calculation of TbTm6Co3 after structural relaxation, from the Alexandria database.

Energy of formation: -0.16 eV/atom

Lattice parameters (Å, degrees): 10.602 12.690 7.025 90.00 90.00 90.00
Space group Cmc2_1 (No. 36)
Inequivalent atoms, fractional coordinates:
Tb (0.000, 0.173, 0.000)
Tm (0.000, 0.273, 0.541)
Tm (0.000, 0.475, 0.874)
Tm (0.168, 0.041, 0.371)
Tm (0.228, 0.310, 0.229)
Co (0.000, 0.081, 0.666)
Co (0.197, 0.394, 0.579)